Density functional theory data (PBE+U) for crystalline MnV2Pb2O9 at its relaxed geometry.

Lattice parameters (Å, degrees): 8.394 5.884 9.091 90.00 113.44 90.00
Space group P2_1/m (No. 11)
One atom of each set of equivalent atoms:
Mn 0.000 0.000 0.000 x2
V 0.001 0.250 0.686 x2
V 0.408 0.750 0.185 x2
Pb 0.283 0.250 0.379 x2
Pb 0.309 0.750 0.735 x2
O 0.046 0.000 0.807 x4
O 0.129 0.250 0.582 x2
O 0.155 0.250 0.086 x2
O 0.165 0.750 0.090 x2
O 0.216 0.750 0.444 x2
O 0.483 0.509 0.304 x4
O 0.486 0.750 0.043 x2

Results
ρ: 5.77 g/cm³
Final energy: -6.91 eV/atom